(1)
A geometry-optimized Tb6CeHo8 structure. Source: Alexandria via LeMat-Bulk, functional PBE.

## Properties
The formation energy is 129 meV per atom. As for the space-group type: R-3 (148).

a = 8.5798 Å, b = 8.5798 Å, c = 8.5798 Å
α = 63.14°, β = 63.14°, γ = 63.14°
Fractional positions:
Tb  0.0397  0.6069  0.7281
Tb  0.2719  0.9603  0.3931
Tb  0.3931  0.2719  0.9603
Tb  0.6069  0.7281  0.0397
Tb  0.7281  0.0397  0.6069
Tb  0.9603  0.3931  0.2719
Ce  0.5000  0.5000  0.5000
Ho  0.0770  0.0770  0.0770
Ho  0.2181  0.6118  0.2500
Ho  0.2500  0.2181  0.6118
Ho  0.3882  0.7500  0.7819
Ho  0.6118  0.2500  0.2181
Ho  0.7500  0.7819  0.3882
Ho  0.7819  0.3882  0.7500
Ho  0.9230  0.9230  0.9230

(2)
A geometry-optimized Tb4Tm3Tl4 structure. Source: Alexandria via LeMat-Bulk, functional PBE.

## Properties
The formation energy is -104 meV per atom. As for the space-group type: Immm (71).

a = 17.9316 Å, b = 17.9316 Å, c = 17.9316 Å
α = 168.55°, β = 163.56°, γ = 20.07°
Fractional positions:
Tb  0.0934  0.0934  0.0000
Tb  0.2658  0.7658  0.5000
Tb  0.7342  0.2342  0.5000
Tb  0.9066  0.9066  0.0000
Tm  0.0000  0.5000  0.5000
Tm  0.3541  0.3541  0.0000
Tm  0.6459  0.6459  0.0000
Tl  0.1820  0.1820  0.0000
Tl  0.4540  0.9540  0.5000
Tl  0.5460  0.0460  0.5000
Tl  0.8180  0.8180  0.0000

(3)
A geometry-optimized Be17VZn structure. Source: Alexandria via LeMat-Bulk, functional PBE.

## Properties
The formation energy is -34 meV per atom. As for the space-group type: R3m (160).

a = 5.5390 Å, b = 5.5390 Å, c = 5.5390 Å
α = 81.91°, β = 81.91°, γ = 81.91°
Fractional positions:
Be  0.0546  0.0546  0.0546
Be  0.1455  0.1455  0.6610
Be  0.1455  0.6610  0.1455
Be  0.1598  0.4636  0.8478
Be  0.1598  0.8478  0.4636
Be  0.2564  0.2564  0.2564
Be  0.3153  0.8187  0.8187
Be  0.4636  0.1598  0.8478
Be  0.4636  0.8478  0.1598
Be  0.5025  0.5025  0.9951
Be  0.5025  0.9951  0.5025
Be  0.6610  0.1455  0.1455
Be  0.8187  0.3153  0.8187
Be  0.8187  0.8187  0.3153
Be  0.8478  0.1598  0.4636
Be  0.8478  0.4636  0.1598
Be  0.9951  0.5025  0.5025
V  0.8267  0.8267  0.8267
Zn  0.5465  0.5465  0.5465

(4)
A geometry-optimized BeInSe2Br structure. Source: Alexandria via LeMat-Bulk, functional PBE.

## Properties
Its relative energy among the computed polymorphs is 3.90 eV/f.u. As for the space-group type: P4/mmm (123).

a = 5.3096 Å, b = 5.3096 Å, c = 5.3407 Å
α = 90.00°, β = 90.00°, γ = 90.00°
Fractional positions:
Be  0.0000  0.0000  0.0000
In  0.5000  0.5000  0.5000
Se  0.0000  0.5000  0.5000
Se  0.5000  0.0000  0.5000
Br  0.5000  0.5000  0.0000

(5)
A geometry-optimized BaScAu structure. Source: Alexandria via LeMat-Bulk, functional PBE.

## Properties
Its relative energy among the computed polymorphs is 1.25 eV/f.u. The formation energy is -84 meV per atom. As for the space-group type: F-43m (216).

a = 5.2231 Å, b = 5.2231 Å, c = 5.2231 Å
α = 60.00°, β = 60.00°, γ = 60.00°
Fractional positions:
Ba  0.0000  0.0000  0.0000
Sc  0.5000  0.5000  0.5000
Au  0.7500  0.7500  0.7500

(6)
A geometry-optimized CdWCl structure. Source: Alexandria via LeMat-Bulk, functional PBE.

## Properties
Its relative energy among the computed polymorphs is 0.99 eV/f.u. As for the space-group type: I4mm (107).

a = 7.9255 Å, b = 7.9255 Å, c = 7.9255 Å
α = 158.76°, β = 158.76°, γ = 30.21°
Fractional positions:
Cd  0.0000  0.0000  0.0000
W  0.6408  0.6408  0.0000
Cl  0.2454  0.2454  0.0000

(7)
A geometry-optimized HoHgPt structure. Source: Alexandria via LeMat-Bulk, functional PBE.

## Properties
The formation energy is -678 meV per atom. As for the space-group type: P-6m2 (187).

a = 4.7020 Å, b = 4.7020 Å, c = 3.4510 Å
α = 90.00°, β = 90.00°, γ = 120.00°
Fractional positions:
Ho  0.0000  0.0000  0.0000
Hg  0.3333  0.6667  0.5000
Pt  0.6667  0.3333  0.5000

(8)
A geometry-optimized TcSb3Au structure. Source: Alexandria via LeMat-Bulk, functional PBE.

## Properties
Its relative energy among the computed polymorphs is 3.66 eV/f.u. As for the space-group type: Pm-3m (221).

a = 5.3388 Å, b = 5.3388 Å, c = 5.3388 Å
α = 90.00°, β = 90.00°, γ = 90.00°
Fractional positions:
Tc  0.0000  0.0000  0.0000
Sb  0.0000  0.5000  0.5000
Sb  0.5000  0.0000  0.5000
Sb  0.5000  0.5000  0.0000
Au  0.5000  0.5000  0.5000

(9)
A geometry-optimized SrTeRuW2 structure. Source: Alexandria via LeMat-Bulk, functional PBE.

## Properties
Its relative energy among the computed polymorphs is 4.79 eV/f.u. As for the space-group type: P4/mmm (123).

a = 4.9347 Å, b = 4.9347 Å, c = 4.8127 Å
α = 90.00°, β = 90.00°, γ = 90.00°
Fractional positions:
Sr  0.0000  0.0000  0.0000
Te  0.5000  0.5000  0.5000
Ru  0.0000  0.0000  0.5000
W  0.0000  0.5000  0.0000
W  0.5000  0.0000  0.0000

(10)
A geometry-optimized ScAl2OsPt structure. Source: Alexandria via LeMat-Bulk, functional PBE.

## Properties
Its relative energy among the computed polymorphs is 0.02 eV/f.u. The formation energy is 387 meV per atom. As for the space-group type: P4/mmm (123).

a = 4.5517 Å, b = 4.5517 Å, c = 5.1098 Å
α = 90.00°, β = 90.00°, γ = 90.00°
Fractional positions:
Sc  0.0000  0.0000  0.0000
Al  0.0000  0.5000  0.5000
Al  0.5000  0.0000  0.5000
Os  0.5000  0.5000  0.0000
Pt  0.5000  0.5000  0.5000

(11)
A geometry-optimized PtSe2I8 structure. Source: Alexandria via LeMat-Bulk, functional PBE.

## Properties
Its energy is -2.2759 eV/atom. As for the space-group type: C2/m (12).

a = 9.5984 Å, b = 9.5984 Å, c = 7.4841 Å
α = 90.73°, β = 90.73°, γ = 57.05°
Fractional positions:
Pt  0.0000  0.0000  0.0000
Se  0.1965  0.1965  0.6257
Se  0.8035  0.8035  0.3743
I  0.1162  0.1162  0.3268
I  0.1256  0.7074  0.1455
I  0.2926  0.8744  0.8545
I  0.3442  0.3442  0.5324
I  0.6558  0.6558  0.4676
I  0.7074  0.1256  0.1455
I  0.8744  0.2926  0.8545
I  0.8838  0.8838  0.6732

(12)
A geometry-optimized Mg2GeI6 structure. Source: Alexandria via LeMat-Bulk, functional PBE.

## Properties
Its energy is -2.7048 eV/atom. As for the space-group type: P-31m (162).

a = 7.3495 Å, b = 7.3495 Å, c = 7.7022 Å
α = 90.00°, β = 90.00°, γ = 120.00°
Fractional positions:
Mg  0.3333  0.6667  0.0000
Mg  0.6667  0.3333  0.0000
Ge  0.0000  0.0000  0.0000
I  0.0000  0.3418  0.2195
I  0.0000  0.6582  0.7805
I  0.3418  0.0000  0.2195
I  0.3418  0.3418  0.7805
I  0.6582  0.0000  0.7805
I  0.6582  0.6582  0.2195